[1]
# RbMgHgSe2 | Alexandria | PBE | relaxed
data_RbMgHgSe2
_symmetry_space_group_name_H-M 'P 1'
_symmetry_Int_Tables_number 1
_cell_length_a 7.5741
_cell_length_b 7.9038
_cell_length_c 6.1930
_cell_angle_alpha 113.06
_cell_angle_beta 90.00
_cell_angle_gamma 90.00
loop_
_symmetry_equiv_pos_as_xyz
'x,y,z'
loop_
_atom_site_label
_atom_site_type_symbol
_atom_site_fract_x
_atom_site_fract_y
_atom_site_fract_z
Hg1 Hg 0.0000 0.0000 0.5000
Hg2 Hg 0.0000 0.0000 0.0000
Mg1 Mg 0.5000 0.0000 0.7500
Mg2 Mg 0.5000 0.0000 0.2500
Se1 Se 0.6832 0.2160 0.6080
Se2 Se 0.6832 0.7840 0.8920
Se3 Se 0.3168 0.7840 0.3920
Se4 Se 0.3168 0.2160 0.1080
Rb1 Rb 0.2865 0.5000 0.7500
Rb2 Rb 0.7135 0.5000 0.2500
# volume	34.1	A^3/atom
# E_form (uncorrected)	-0.792	eV per atom
# symmetry	Cmme
# size of the total moment	0.00	Bohr magnetons per cell

[2]
# Rb2MgSn4Hg3 | Alexandria | PBE | relaxed
data_Rb2MgSn4Hg3
_symmetry_space_group_name_H-M 'P 1'
_symmetry_Int_Tables_number 1
_cell_length_a 4.8879
_cell_length_b 4.8879
_cell_length_c 12.9389
_cell_angle_alpha 90.00
_cell_angle_beta 90.00
_cell_angle_gamma 90.00
loop_
_symmetry_equiv_pos_as_xyz
'x,y,z'
loop_
_atom_site_label
_atom_site_type_symbol
_atom_site_fract_x
_atom_site_fract_y
_atom_site_fract_z
Mg1 Mg 0.5000 0.5000 0.5000
Hg1 Hg 0.0000 0.0000 0.5000
Hg2 Hg 0.0000 0.5000 0.1461
Hg3 Hg 0.5000 0.0000 0.8539
Sn1 Sn 0.5000 0.0000 0.6313
Sn2 Sn 0.0000 0.5000 0.3687
Sn3 Sn 0.0000 0.0000 0.0000
Sn4 Sn 0.5000 0.5000 0.0000
Rb1 Rb 0.0000 0.5000 0.7495
Rb2 Rb 0.5000 0.0000 0.2505
# volume	30.9	A^3/atom
# symmetry	P-4m2
# size of the total moment	0.00	Bohr magnetons per cell
# E_form	-1.5	eV per formula unit

[3]
# RbMgSnHg2 | Alexandria | PBE | relaxed
data_RbMgSnHg2
_symmetry_space_group_name_H-M 'P 1'
_symmetry_Int_Tables_number 1
_cell_length_a 6.7198
_cell_length_b 6.9859
_cell_length_c 6.7198
_cell_angle_alpha 90.00
_cell_angle_beta 90.00
_cell_angle_gamma 90.00
loop_
_symmetry_equiv_pos_as_xyz
'x,y,z'
loop_
_atom_site_label
_atom_site_type_symbol
_atom_site_fract_x
_atom_site_fract_y
_atom_site_fract_z
Hg1 Hg 0.0000 0.0000 0.5000
Hg2 Hg 0.5000 0.0000 0.0000
Sn1 Sn 0.0000 0.5000 0.0000
Mg1 Mg 0.5000 0.5000 0.5000
Rb1 Rb 0.0000 0.0000 0.0000
# volume	63.1	A^3/atom
# symmetry	P4/mmm
# size of the total moment	2.70	Bohr magnetons per cell
# E_form	3.3	eV per formula unit